# 1
A plane-wave DFT calculation with PBE-GGA was carried out for a relaxed structure of MgZn5.

Calculated values
The value obtained for the density of states at the Fermi level is 2.16 states/eV per cell.

The structure in CIF format:
```
data_MgZn5
_cell_length_a 2.8847
_cell_length_b 2.8847
_cell_length_c 13.4773
_cell_angle_alpha 90.00
_cell_angle_beta 90.00
_cell_angle_gamma 120.00
_space_group_name_H-M_alt 'P -6 m 2'
_space_group_IT_number 187
_space_group_name_Hall 'P -6 2'
loop_
_atom_site_label
_atom_site_fract_x
_atom_site_fract_y
_atom_site_fract_z
Mg1 0.0000 0.0000 0.0000
Zn1 0.0000 0.0000 0.3396
Zn2 0.3333 0.6667 0.1772
Zn3 0.3333 0.6667 0.5000
```

# 2
A plane-wave DFT calculation with PBE-GGA was carried out for a relaxed structure of Mg3Zn.

Calculated values
The value obtained for the density of states at the Fermi level is 5.37 states/eV per cell.

The structure in CIF format:
```
data_Mg3Zn
_cell_length_a 4.2350
_cell_length_b 9.6234
_cell_length_c 8.3754
_cell_angle_alpha 90.00
_cell_angle_beta 90.00
_cell_angle_gamma 90.00
_space_group_name_H-M_alt 'C m c m'
_space_group_IT_number 63
_space_group_name_Hall '-C 2c 2'
loop_
_atom_site_label
_atom_site_fract_x
_atom_site_fract_y
_atom_site_fract_z
Mg1 0.0000 0.0549 0.2500
Mg2 0.0000 0.3526 0.0628
Zn1 0.0000 0.2479 0.7500
```

Formation enthalpy at 0 K readings, ordered: 0.0354; -0.0272 eV per atom
Total energy readings, ordered: -7.8; -24.7 eV/cell